No. 1
# RbBa2LiCo

A geometry-optimized RbBa2LiCo structure (GGA-PBEsol, Alexandria via LeMat-Bulk).

magnetic moment	0.48	μB per formula unit
space group	P4/mmm, No. 123
DFT formation energy	411	meV/atom
DOS at the Fermi energy	5.1	states/eV per cell
V	38.9	Å³/atom

a b c (Å): 5.7656 5.7656 5.8471
angles (deg): 90.00 90.00 90.00
Sites, in units of the cell vectors:
Rb  0.0000  0.0000  0.0000
Ba  0.0000  0.5000  0.5000
Ba  0.5000  0.0000  0.5000
Li  0.5000  0.5000  0.0000
Co  0.5000  0.5000  0.5000

---

No. 2
# Cs2MgTaSi

A geometry-optimized Cs2MgTaSi structure (GGA-PBEsol, Alexandria via LeMat-Bulk).

E	-12.8	eV/cell
magnetic moment	6.77	μB per formula unit
space group	P4/mmm, No. 123
DOS at the Fermi energy	6.0	states/eV per cell
V	46.6	Å³/atom

a b c (Å): 6.4486 6.4486 5.5981
angles (deg): 90.00 90.00 90.00
Sites, in units of the cell vectors:
Cs  0.0000  0.5000  0.0000
Cs  0.5000  0.0000  0.0000
Mg  0.0000  0.0000  0.5000
Ta  0.0000  0.0000  0.0000
Si  0.5000  0.5000  0.5000

---

No. 3
# Sr3HfP

A geometry-optimized Sr3HfP structure (GGA-PBEsol, Alexandria via LeMat-Bulk).

energy above the most stable polymorph in this dataset	0.875	eV per atom
magnetic moment	0.99	μB per formula unit
space group	Pm-3m, No. 221
DFT formation energy	1135	meV/atom
DOS at the Fermi energy	8.0	states/eV per cell
V	37.0	Å³/atom

a b c (Å): 5.6972 5.6972 5.6972
angles (deg): 90.00 90.00 90.00
Sites, in units of the cell vectors:
Sr  0.0000  0.0000  0.5000
Sr  0.0000  0.5000  0.0000
Sr  0.5000  0.0000  0.0000
Hf  0.0000  0.0000  0.0000
P  0.5000  0.5000  0.5000

---

- Number 1 is which compound?
  RbBa2LiCo